Record 1
Material: Mg2CdTe
Method: DFT, PBE
State: relaxed

Cell lengths 5.2326, 5.2326, 5.2326 Å; angles 60.00, 60.00, 60.00 degrees
With the nearest neighbours (Å) after each atom.
Fractional coordinates of all 4 atoms:
Mg  0.2500  0.2500  0.2500  4 Cd 3.20, 4 Te 3.20
Mg  0.7500  0.7500  0.7500  4 Cd 3.20, 4 Te 3.20
Cd  0.0000  0.0000  0.0000  8 Mg 3.20
Te  0.5000  0.5000  0.5000  8 Mg 3.20

Properties
Energy above the most stable polymorph in this dataset: 0.1691 eV/atom
Raw formation energy: -0.11 eV per atom
V: 101 Å³/f.u.
Space group: Fm-3m (225)
Total magnetization: 0.000 μB/atom

---

Record 2
Material: Al2Zn4Ag3
Method: DFT, PBE
State: relaxed

Cell lengths 3.7884, 6.7345, 6.6138 Å; angles 113.87, 106.64, 90.00 degrees
With the nearest neighbours (Å) after each atom.
Fractional coordinates of all 9 atoms:
Zn  0.4434  0.6607  0.8867  4 Zn 2.73-3.06, 1 Al 2.77, 6 Ag 2.80-2.88
Zn  0.2213  0.3382  0.4425  5 Zn 2.73-2.82, 3 Ag 2.77-2.81, 2 Al 2.79
Zn  0.5566  0.3393  0.1133  4 Zn 2.73-3.06, 1 Al 2.77, 6 Ag 2.80-2.88
Zn  0.7787  0.6618  0.5575  5 Zn 2.73-2.82, 3 Ag 2.77-2.81, 2 Al 2.79
Ag  0.8819  0.3244  0.7639  3 Al 2.70-2.78, 6 Zn 2.80-2.88, 1 Ag 2.93
Ag  0.0000  0.0000  0.0000  6 Zn 2.77-2.82, 4 Al 2.80
Ag  0.1181  0.6756  0.2361  3 Al 2.70-2.78, 6 Zn 2.80-2.88, 1 Ag 2.93
Al  0.3363  0.9963  0.6726  5 Ag 2.70-2.80, 3 Zn 2.77-2.79, 2 Al 2.91
Al  0.6637  0.0037  0.3274  5 Ag 2.70-2.80, 3 Zn 2.77-2.79, 2 Al 2.91

Properties
V: 147 Å³/f.u.
Space group: C2/m (12)
Total magnetization: 0.000 μB/atom
Energy: -21.17 eV per cell

---

Record 3
Material: Ag12I3F5
Method: DFT, PBE
State: relaxed

Cell lengths 13.3716, 13.3716, 13.3716 Å; angles 109.47, 109.47, 109.47 degrees
With the nearest neighbours (Å) after each atom.
Fractional coordinates of all 80 atoms:
Ag  0.8043  0.3125  0.8793  2 F 2.34-2.42
Ag  0.5750  0.0082  0.1957  2 F 2.34-2.42
Ag  0.6875  0.1957  0.6207  2 F 2.34-2.42
Ag  0.4250  0.4332  0.1207  2 F 2.34-2.42
Ag  0.5082  0.1957  0.0750  2 F 2.34-2.42
Ag  0.1957  0.5082  0.5750  2 F 2.34-2.42
Ag  0.3793  0.3043  0.3125  2 F 2.34-2.42
Ag  0.3043  0.9250  0.9918  2 F 2.34-2.42
Ag  0.8125  0.9332  0.0082  2 F 2.34-2.42
Ag  0.9332  0.1207  0.9250  2 F 2.34-2.42
Ag  0.9918  0.4250  0.3043  2 F 2.34-2.42
Ag  0.6207  0.9250  0.4332  2 F 2.34-2.42
Ag  0.8125  0.8793  0.3043  2 F 2.34-2.42
Ag  0.1207  0.1875  0.1957  2 F 2.34-2.42
Ag  0.4918  0.8043  0.9250  2 F 2.34-2.42
Ag  0.1875  0.1207  0.6957  2 F 2.34-2.42
Ag  0.4250  0.9918  0.8043  2 F 2.34-2.42
Ag  0.0750  0.6957  0.5082  2 F 2.34-2.42
Ag  0.4332  0.4250  0.6207  2 F 2.34-2.42
Ag  0.5668  0.5750  0.3793  2 F 2.34-2.42
Ag  0.5750  0.5668  0.8793  2 F 2.34-2.42
Ag  0.4332  0.0082  0.3125  2 F 2.34-2.42
Ag  0.3125  0.5082  0.4332  2 F 2.34-2.42
Ag  0.1207  0.9332  0.4250  2 F 2.34-2.42
Ag  0.9250  0.3043  0.4918  2 F 2.34-2.42
Ag  0.8793  0.8125  0.8043  2 F 2.34-2.42
Ag  0.1875  0.0668  0.9918  2 F 2.34-2.42
Ag  0.8043  0.4918  0.4250  2 F 2.34-2.42
Ag  0.6957  0.0750  0.0082  2 F 2.34-2.42
Ag  0.0082  0.5750  0.6957  2 F 2.34-2.42
Ag  0.1957  0.6875  0.1207  2 F 2.34-2.42
Ag  0.6875  0.4918  0.5668  2 F 2.34-2.42
Ag  0.0668  0.8793  0.0750  2 F 2.34-2.42
Ag  0.6957  0.6207  0.1875  2 F 2.34-2.42
Ag  0.9250  0.6207  0.9332  2 F 2.34-2.42
Ag  0.6207  0.6957  0.6875  2 F 2.34-2.42
Ag  0.3125  0.8043  0.3793  2 F 2.34-2.42
Ag  0.3793  0.0750  0.5668  2 F 2.34-2.42
Ag  0.8793  0.0668  0.5750  2 F 2.34-2.42
Ag  0.5082  0.3125  0.9332  2 F 2.34-2.42
Ag  0.0668  0.1875  0.4918  2 F 2.34-2.42
Ag  0.3043  0.3793  0.8125  2 F 2.34-2.42
Ag  0.9332  0.8125  0.5082  2 F 2.34-2.42
Ag  0.4918  0.6875  0.0668  2 F 2.34-2.42
Ag  0.0750  0.3793  0.0668  2 F 2.34-2.42
Ag  0.0082  0.4332  0.8125  2 F 2.34-2.42
Ag  0.9918  0.5668  0.1875  2 F 2.34-2.42
Ag  0.5668  0.9918  0.6875  2 F 2.34-2.42
F  0.8750  0.6250  0.7500  4 Ag 2.34
F  0.1250  0.7500  0.3750  4 Ag 2.34
F  0.3750  0.1250  0.7500  4 Ag 2.34
F  0.5000  0.5000  0.5000  6 Ag 2.42
F  0.2500  0.3750  0.6250  4 Ag 2.34
F  0.0000  0.5000  0.0000  6 Ag 2.42
F  0.5000  0.0000  0.5000  6 Ag 2.42
F  0.1250  0.3750  0.2500  4 Ag 2.34
F  0.0000  0.0000  0.5000  6 Ag 2.42
F  0.7500  0.1250  0.8750  4 Ag 2.34
F  0.3750  0.2500  0.1250  4 Ag 2.34
F  0.0000  0.5000  0.5000  6 Ag 2.42
F  0.0000  0.0000  0.0000  6 Ag 2.42
F  0.6250  0.8750  0.2500  4 Ag 2.34
F  0.6250  0.7500  0.8750  4 Ag 2.34
F  0.2500  0.8750  0.1250  4 Ag 2.34
F  0.5000  0.0000  0.0000  6 Ag 2.42
F  0.7500  0.6250  0.3750  4 Ag 2.34
F  0.5000  0.5000  0.0000  6 Ag 2.42
F  0.8750  0.2500  0.6250  4 Ag 2.34
I  0.6250  0.2500  0.3750  4 Ag 2.99
I  0.6250  0.3750  0.7500  4 Ag 2.99
I  0.3750  0.6250  0.2500  4 Ag 2.99
I  0.8750  0.7500  0.1250  4 Ag 2.99
I  0.2500  0.6250  0.8750  4 Ag 2.99
I  0.7500  0.3750  0.1250  4 Ag 2.99
I  0.2500  0.1250  0.3750  4 Ag 2.99
I  0.3750  0.7500  0.6250  4 Ag 2.99
I  0.7500  0.8750  0.6250  4 Ag 2.99
I  0.8750  0.1250  0.2500  4 Ag 2.99
I  0.1250  0.2500  0.8750  4 Ag 2.99
I  0.1250  0.8750  0.7500  4 Ag 2.99

Properties
Raw formation energy: -0.33 eV per atom
V: 460 Å³/f.u.
Space group: Ia-3d (230)
Total magnetization: 0.000 μB/atom

---

Record 4
Material: Tl3HgH8
Method: DFT, PBE
State: relaxed

Cell lengths 7.1974, 6.1354, 7.0467 Å; angles 75.99, 55.51, 105.15 degrees
With the nearest neighbours (Å) after each atom.
Fractional coordinates of all 12 atoms:
H  0.5900  0.5186  0.2616  1 H 0.76
H  0.4951  0.0000  0.1525  1 H 0.76
H  0.0264  0.0000  0.7448  1 H 0.76
H  0.5239  0.5089  0.2069  1 H 0.76
H  0.0150  0.4911  0.7158  1 H 0.76
H  0.9836  0.0000  0.6677  1 H 0.76
H  0.5743  0.0000  0.1916  1 H 0.76
H  0.0714  0.4814  0.7802  1 H 0.76
Tl  0.0918  0.4997  0.2354  5 H 2.99-3.32, 2 Hg 3.19, 4 Tl 3.25-3.32
Tl  0.5101  0.0000  0.6455  4 H 2.96-3.30, 4 Tl 3.25
Tl  0.5921  0.5003  0.7350  5 H 2.99-3.32, 2 Hg 3.19, 4 Tl 3.25-3.32
Hg  0.0266  0.0000  0.1630  4 H 2.95-3.28, 4 Tl 3.19

Properties
V: 216 Å³/f.u.
Space group: Cm (8)
Total magnetization: 0.000 μB/atom
Energy: -33.13 eV per cell

---

Record 5
Material: K4Er3PtO8
Method: DFT, PBE
State: relaxed

Cell lengths 6.6994, 7.3085, 6.8664 Å; angles 116.98, 119.20, 90.00 degrees
With the nearest neighbours (Å) after each atom.
Fractional coordinates of all 16 atoms:
K  0.5000  0.0000  0.0000  6 O 2.56-2.85
K  0.0000  0.0000  0.0000  6 O 2.73-2.90
K  0.5000  0.0000  0.5000  6 O 2.73-2.88
K  0.0000  0.0000  0.5000  6 O 2.73-2.88
O  0.2587  0.3231  0.0462  1 Pt 2.15, 2 Er 2.29-2.33
O  0.7432  0.2892  0.4863  2 Er 2.25
O  0.7229  0.6833  0.4458  3 Er 2.27-2.28
O  0.2125  0.6769  0.9538  1 Pt 2.15, 2 Er 2.29-2.33
O  0.7875  0.3231  0.0462  1 Pt 2.15, 2 Er 2.29-2.33
O  0.2568  0.7108  0.5137  2 Er 2.25
O  0.7413  0.6769  0.9538  1 Pt 2.15, 2 Er 2.29-2.33
O  0.2771  0.3167  0.5542  3 Er 2.27-2.28
Er  0.5000  0.5000  0.0000  6 O 2.28-2.29
Er  0.5000  0.5000  0.5000  6 O 2.25-2.33
Er  0.0000  0.5000  0.5000  6 O 2.25-2.33
Pt  0.0000  0.5000  0.0000  4 O 2.15

Properties
Raw formation energy: -2.25 eV per atom
V: 251 Å³/f.u.
Space group: C2/m (12)
Total magnetization: 0.062 μB/atom

---

Record 6
Material: LiLaY2Ir
Method: DFT, PBE
State: relaxed

Cell lengths 5.4992, 5.4992, 5.5790 Å; angles 90.00, 90.00, 90.00 degrees
With the nearest neighbours (Å) after each atom.
Fractional coordinates of all 5 atoms:
Ir  0.0000  0.0000  0.0000  4 Y 2.75, 2 La 2.79
Y  0.0000  0.5000  0.0000  2 Ir 2.75
Y  0.5000  0.0000  0.0000  2 Ir 2.75
La  0.0000  0.0000  0.5000  2 Ir 2.79
Li  0.5000  0.5000  0.5000  4 La 3.89, 8 Y 3.92

Properties
V: 169 Å³/f.u.
Space group: P4/mmm (123)
Total magnetization: 0.000 μB/atom
Energy: -29.93 eV per cell

---

Record 7
Material: Nd2HPt
Method: DFT, PBE
State: relaxed

Cell lengths 4.1190, 4.1190, 6.6323 Å; angles 71.91, 71.91, 60.00 degrees
With the nearest neighbours (Å) after each atom.
Fractional coordinates of all 4 atoms:
H  0.5000  0.5000  0.5000  6 Nd 2.78
Nd  0.7557  0.7557  0.7328  3 H 2.78, 3 Pt 2.90
Nd  0.2443  0.2443  0.2672  3 H 2.78, 3 Pt 2.90
Pt  0.0000  0.0000  0.0000  6 Nd 2.90

Properties
Energy above the most stable polymorph in this dataset: 0.0188 eV/atom
V: 91 Å³/f.u.
Space group: R-3m (166)
Total magnetization: 0.000 μB/atom

---

Record 8
Material: PuUAu2
Method: DFT, PBE
State: relaxed

Cell lengths 4.5919, 4.3569, 4.3569 Å; angles 90.00, 90.00, 90.00 degrees
With the nearest neighbours (Å) after each atom.
Fractional coordinates of all 4 atoms:
Pu  0.5000  0.0000  0.0000  4 U 3.08, 8 Au 3.16
Au  0.0000  0.5000  0.0000  4 Au 3.08, 4 U 3.16, 4 Pu 3.16
Au  0.0000  0.0000  0.5000  4 Au 3.08, 4 U 3.16, 4 Pu 3.16
U  0.5000  0.5000  0.5000  4 Pu 3.08, 8 Au 3.16

Properties
Energy above the most stable polymorph in this dataset: 0.0110 eV/atom
V: 87 Å³/f.u.
Space group: P4/mmm (123)
Total magnetization: 2.132 μB/atom

---

> The lowest V belongs to which entry?

PuUAu2